Material: TlAgS
Method: DFT, GGA-PBE
State: relaxed

a = 9.2083 Å, b = 4.4047 Å, c = 7.4226 Å
α = 90.00°, β = 90.00°, γ = 90.00°
Atoms (fractional coordinates):
Ag (0.7404, 0.2500, 0.9211)
Ag (0.2404, 0.2500, 0.5789)
Ag (0.7596, 0.7500, 0.4211)
Ag (0.2596, 0.7500, 0.0789)
Tl (0.5000, 0.2500, 0.2623)
Tl (0.0000, 0.7500, 0.7623)
Tl (0.5000, 0.7500, 0.7377)
Tl (0.0000, 0.2500, 0.2377)
S (0.2870, 0.2500, 0.9147)
S (0.7870, 0.2500, 0.5853)
S (0.7130, 0.7500, 0.0853)
S (0.2130, 0.7500, 0.4147)

VASP energy   -0.122 hartree per atom
Space-group type   Pnma
Calculated density   7.60 g/cm3

=====

Material: RbGdSe2O8
Method: DFT, GGA-PBE
State: relaxed

a = 5.6923 Å, b = 5.6923 Å, c = 7.6417 Å
α = 90.00°, β = 90.00°, γ = 120.00°
Atoms (fractional coordinates):
O (0.8242, 0.6484, 0.1842)
O (0.8242, 0.1758, 0.1842)
O (0.1758, 0.3516, 0.8158)
O (0.3516, 0.1758, 0.1842)
O (0.6667, 0.3333, 0.4783)
O (0.1758, 0.8242, 0.8158)
O (0.3333, 0.6667, 0.5217)
O (0.6484, 0.8242, 0.8158)
Gd (0.0000, 0.0000, 0.0000)
Rb (0.0000, 0.0000, 0.5000)
Se (0.6667, 0.3333, 0.2639)
Se (0.3333, 0.6667, 0.7361)

VASP energy   -0.216 hartree per atom
Space-group type   P-3m1
Calculated density   4.09 g/cm3
Total magnetic moment   0.00 μB per cell

=====

Material: YEr2FeNi8
Method: DFT, GGA-PBE
State: relaxed

a = 8.5289 Å, b = 8.5289 Å, c = 8.5289 Å
α = 33.69°, β = 33.69°, γ = 33.69°
Last column: magnetic moment on the atom in μB.
Atoms (fractional coordinates):
Y (0.0000, 0.0000, 0.0000)  0.00
Er (0.1406, 0.1406, 0.1406)  0.01
Er (0.8594, 0.8594, 0.8594)  0.01
Ni (0.4167, 0.4167, 0.9168)  0.00
Ni (0.9168, 0.4167, 0.4167)  0.00
Ni (0.3330, 0.3330, 0.3330)  0.02
Ni (0.4167, 0.9168, 0.4167)  0.00
Ni (0.5833, 0.0832, 0.5833)  0.00
Ni (0.6670, 0.6670, 0.6670)  0.02
Ni (0.0832, 0.5833, 0.5833)  0.00
Ni (0.5833, 0.5833, 0.0832)  0.00
Fe (0.5000, 0.5000, 0.5000)  -0.13

Space-group type   R-3m
Calculated formation energy   -349 meV/atom
Calculated density   9.26 g/cm3
Total magnetic moment   0.04 μB per cell

=====

Material: HfNi2Sn
Method: DFT, GGA-PBE
State: relaxed

a = 3.2916 Å, b = 3.2916 Å, c = 6.0259 Å
α = 90.00°, β = 90.00°, γ = 90.00°
Atoms (fractional coordinates):
Ni (0.5000, 0.5000, 0.2203)
Ni (0.5000, 0.5000, 0.7797)
Sn (0.0000, 0.0000, 0.5000)
Hf (0.0000, 0.0000, 0.0000)

VASP energy   -0.244 hartree per atom
Space-group type   P4/mmm
Calculated density   10.54 g/cm3
Total magnetic moment   0.01 μB per cell

=====

Material: KLuO3
Method: DFT, GGA-PBE
State: relaxed

a = 6.2649 Å, b = 6.2649 Å, c = 6.2129 Å
α = 59.72°, β = 59.72°, γ = 60.00°
Last column: magnetic moment on the atom in μB.
Atoms (fractional coordinates):
Lu (0.8475, 0.8475, 0.4576)  -0.04
Lu (0.1525, 0.1525, 0.5424)  -0.04
K (0.3792, 0.3792, 0.8624)  0.01
K (0.6208, 0.6208, 0.1376)  0.01
O (0.8380, 0.0039, 0.7067)  0.58
O (0.5485, 0.1620, 0.2933)  0.51
O (0.4515, 0.8380, 0.7067)  0.51
O (0.1620, 0.9961, 0.2933)  0.58
O (0.9961, 0.5485, 0.2933)  0.57
O (0.0039, 0.4515, 0.7067)  0.57

VASP energy   -0.221 hartree per atom
Space-group type   R-3
Calculated density   5.07 g/cm3
Total magnetic moment   4.00 μB per cell

=====

Material: CoSiPd
Method: DFT, GGA-PBE
State: relaxed

a = 3.8962 Å, b = 3.8962 Å, c = 3.8962 Å
α = 60.00°, β = 60.00°, γ = 60.00°
Atoms (fractional coordinates):
Si (0.0000, 0.0000, 0.0000)
Pd (0.7500, 0.7500, 0.7500)
Co (0.2500, 0.2500, 0.2500)

VASP energy   -0.231 hartree per atom
Space-group type   F-43m
Calculated density   7.68 g/cm3
Total magnetic moment   0.04 μB per cell